## SrLu2Se4 (PBEsol)

Data for a geometry-optimized SrLu2Se4 structure.

Calculated values
The raw total energy comes out at -5.80 eV/atom. The space group is Pnma, No. 62. For the size of the total moment, the calculation gives 0.000 μB/cell. As for the formation energy (no corrections): -188 kJ/mol of atoms.

Lattice parameters (Å, degrees): 12.2983 4.0214 14.5684 90.00 90.00 90.00
Closest atoms and distances in Å follow each position.
Element x y z (fractional)
Sr (0.2394, 0.2500, 0.1670)  8 Se 3.15-3.36
Sr (0.2606, 0.7500, 0.6670)  8 Se 3.15-3.36
Sr (0.7394, 0.2500, 0.3330)  8 Se 3.15-3.36
Sr (0.7606, 0.7500, 0.8330)  8 Se 3.15-3.36
Lu (0.0610, 0.2500, 0.3898)  6 Se 2.75-2.81
Lu (0.0824, 0.2500, 0.9027)  6 Se 2.73-2.81
Lu (0.4176, 0.7500, 0.4027)  6 Se 2.73-2.81
Lu (0.4390, 0.7500, 0.8898)  6 Se 2.75-2.81
Lu (0.5610, 0.2500, 0.1102)  6 Se 2.75-2.81
Lu (0.5824, 0.2500, 0.5973)  6 Se 2.73-2.81
Lu (0.9176, 0.7500, 0.0973)  6 Se 2.73-2.81
Lu (0.9390, 0.7500, 0.6102)  6 Se 2.75-2.81
Se (0.0274, 0.7500, 0.7842)  3 Lu 2.73-2.76
Se (0.0908, 0.2500, 0.5770)  3 Lu 2.75-2.79
Se (0.1288, 0.7500, 0.0296)  3 Lu 2.78-2.79
Se (0.2049, 0.7500, 0.3326)  3 Lu 2.81
Se (0.2951, 0.2500, 0.8326)  3 Lu 2.81
Se (0.3712, 0.2500, 0.5296)  3 Lu 2.78-2.79
Se (0.4092, 0.7500, 0.0770)  3 Lu 2.75-2.79
Se (0.4726, 0.2500, 0.2842)  3 Lu 2.73-2.76
Se (0.5274, 0.7500, 0.7158)  3 Lu 2.73-2.76
Se (0.5908, 0.2500, 0.9230)  3 Lu 2.75-2.79
Se (0.6288, 0.7500, 0.4704)  3 Lu 2.78-2.79
Se (0.7049, 0.7500, 0.1674)  3 Lu 2.81
Se (0.7951, 0.2500, 0.6674)  3 Lu 2.81
Se (0.8712, 0.2500, 0.9704)  3 Lu 2.78-2.79
Se (0.9092, 0.7500, 0.4230)  3 Lu 2.75-2.79
Se (0.9726, 0.2500, 0.2158)  3 Lu 2.73-2.76


## CdHg2Pb (PBEsol)

Data for a geometry-optimized CdHg2Pb structure.

Calculated values
The raw total energy comes out at -1.55 eV/atom. The space group is I-4m2, No. 119. For the size of the total moment, the calculation gives 0.000 μB/cell. As for the energy of formation from the pure elements: 0.031 eV/atom.

Lattice parameters (Å, degrees): 5.7449 5.7449 5.7449 134.05 134.05 67.01
Closest atoms and distances in Å follow each position.
Element x y z (fractional)
Cd (0.0000, 0.0000, 0.0000)  8 Hg 3.17-3.28, 4 Pb 3.28
Hg (0.5000, 0.5000, 0.0000)  4 Cd 3.17, 4 Hg 3.28, 4 Pb 3.28
Hg (0.7500, 0.2500, 0.5000)  4 Pb 3.17, 4 Hg 3.28, 4 Cd 3.28
Pb (0.2500, 0.7500, 0.5000)  8 Hg 3.17-3.28, 4 Cd 3.28


## KCaAg2 (PBEsol)

Data for a geometry-optimized KCaAg2 structure.

Calculated values
The raw total energy comes out at -2.54 eV/atom. The space group is P2/m, No. 10. For the size of the total moment, the calculation gives 0.000 μB/cell. As for the energy of formation from the pure elements: -0.065 eV/atom.

Lattice parameters (Å, degrees): 3.7779 3.7791 7.8505 90.00 90.07 90.00
Closest atoms and distances in Å follow each position.
Element x y z (fractional)
K (0.0000, 0.0000, 0.0000)  8 Ag 3.60-3.61, 4 K 3.78, 2 Ca 3.93
Ca (0.0000, 0.0000, 0.5000)  8 Ag 3.07
Ag (0.4997, 0.5000, 0.3086)  1 Ag 3.01, 4 Ca 3.07
Ag (0.5003, 0.5000, 0.6914)  1 Ag 3.01, 4 Ca 3.07


## LiRe2Ir (PBEsol)

Data for a geometry-optimized LiRe2Ir structure.

Calculated values
The raw total energy comes out at -9.14 eV/atom. The space group is P4/mmm, No. 123. For the size of the total moment, the calculation gives 0.000 μB/cell. As for the energy of formation from the pure elements: 0.476 eV/atom.

Lattice parameters (Å, degrees): 3.1384 3.1384 5.4642 90.00 90.00 90.00
Closest atoms and distances in Å follow each position.
Element x y z (fractional)
Li (0.0000, 0.0000, 0.0000)  8 Re 2.54, 2 Ir 2.73
Re (0.5000, 0.5000, 0.2246)  1 Re 2.45, 4 Li 2.54, 4 Ir 2.68
Re (0.5000, 0.5000, 0.7754)  1 Re 2.45, 4 Li 2.54, 4 Ir 2.68
Ir (0.0000, 0.0000, 0.5000)  8 Re 2.68, 2 Li 2.73


## Y2MnIn (PBEsol)

Data for a geometry-optimized Y2MnIn structure.

Calculated values
The raw total energy comes out at -6.67 eV/atom. The space group is P4/mmm, No. 123. For the size of the total moment, the calculation gives 3.072 μB/cell. As for the energy of formation from the pure elements: -0.074 eV/atom.

Lattice parameters (Å, degrees): 4.7349 4.7349 4.1578 90.00 90.00 90.00
Closest atoms and distances in Å follow each position.
Element x y z (fractional)
Y (0.0000, 0.5000, 0.0000)  4 In 3.15, 4 Mn 3.15, 4 Y 3.35
Y (0.5000, 0.0000, 0.0000)  4 In 3.15, 4 Mn 3.15, 4 Y 3.35
Mn (0.0000, 0.0000, 0.5000)  8 Y 3.15, 4 In 3.35
In (0.5000, 0.5000, 0.5000)  8 Y 3.15, 4 Mn 3.35


## BeBr3 (PBEsol)

Data for a geometry-optimized BeBr3 structure.

Calculated values
The raw total energy comes out at -2.82 eV/atom. The space group is R-3m, No. 166. For the size of the total moment, the calculation gives 0.004 μB/cell. As for the formation energy (no corrections): -40 kJ/mol of atoms.

Lattice parameters (Å, degrees): 10.1736 10.1736 10.1736 18.88 18.88 18.88
Closest atoms and distances in Å follow each position.
Element x y z (fractional)
Be (0.0000, 0.0000, 0.0000)  6 Br 2.38
Br (0.2869, 0.2869, 0.2869)  3 Be 2.38
Br (0.5000, 0.5000, 0.5000)  6 Br 3.34
Br (0.7131, 0.7131, 0.7131)  3 Be 2.38


## BeW2Cl (PBEsol)

Data for a geometry-optimized BeW2Cl structure.

Calculated values
The raw total energy comes out at -7.53 eV/atom. The space group is Pmmm, No. 47. For the size of the total moment, the calculation gives 0.000 μB/cell. As for the formation energy (no corrections): 85 kJ/mol of atoms.

Lattice parameters (Å, degrees): 2.7164 4.3729 4.9510 90.00 90.00 90.00
Closest atoms and distances in Å follow each position.
Element x y z (fractional)
Be (0.0000, 0.0000, 0.0000)  4 W 2.57, 2 Be 2.72, 4 Cl 2.82
W (0.0000, 0.5000, 0.5000)  4 Cl 2.57, 6 W 2.72-2.82
W (0.5000, 0.5000, 0.0000)  4 Be 2.57, 6 W 2.72-2.82
Cl (0.5000, 0.0000, 0.5000)  4 W 2.57, 2 Cl 2.72, 4 Be 2.82


## HfMg2MnCl (PBEsol)

Data for a geometry-optimized HfMg2MnCl structure.

Calculated values
The raw total energy comes out at -4.06 eV/atom. The space group is P4/mmm, No. 123. For the size of the total moment, the calculation gives 2.432 μB/cell. As for the formation energy (no corrections): 104 kJ/mol of atoms.

Lattice parameters (Å, degrees): 5.8042 5.8042 4.4829 90.00 90.00 90.00
Closest atoms and distances in Å follow each position.
Element x y z (fractional)
Hf (0.0000, 0.0000, 0.0000)  2 Mn 2.24
Mg (0.0000, 0.5000, 0.0000)  2 Hf 2.90
Mg (0.5000, 0.0000, 0.0000)  2 Hf 2.90
Mn (0.0000, 0.0000, 0.5000)  2 Hf 2.24
Cl (0.5000, 0.5000, 0.5000)  8 Mg 3.67, 4 Mn 4.10


## Fe12PbO19 (PBEsol)

Data for a geometry-optimized Fe12PbO19 structure.

Calculated values
The raw total energy comes out at -7.85 eV/atom. The space group is P6_3/mmc, No. 194. For the size of the total moment, the calculation gives 34.831 μB/cell. As for the formation energy (no corrections): -121 kJ/mol of atoms.

Lattice parameters (Å, degrees): 5.5929 5.5929 21.8807 90.00 90.00 120.00
Closest atoms and distances in Å follow each position.
Element x y z (fractional)
Fe (0.0000, 0.0000, 0.0000)  6 O 1.90
Fe (0.0000, 0.0000, 0.2500)  5 O 1.81-2.01
Fe (0.0000, 0.0000, 0.5000)  6 O 1.90
Fe (0.0000, 0.0000, 0.7500)  5 O 1.81-2.01
Fe (0.1636, 0.3272, 0.1102)  6 O 1.86-1.96
Fe (0.1636, 0.3272, 0.3898)  6 O 1.86-1.96
Fe (0.1636, 0.8364, 0.1102)  6 O 1.86-1.96
Fe (0.1636, 0.8364, 0.3898)  6 O 1.86-1.96
Fe (0.3272, 0.1636, 0.6102)  6 O 1.86-1.96
Fe (0.3272, 0.1636, 0.8898)  6 O 1.86-1.96
Fe (0.3333, 0.6667, 0.5251)  4 O 1.89
Fe (0.3333, 0.6667, 0.6926)  6 O 1.87-1.90
Fe (0.3333, 0.6667, 0.8074)  6 O 1.87-1.90
Fe (0.3333, 0.6667, 0.9749)  4 O 1.89
Fe (0.6667, 0.3333, 0.0251)  4 O 1.89
Fe (0.6667, 0.3333, 0.1926)  6 O 1.87-1.90
Fe (0.6667, 0.3333, 0.3074)  6 O 1.87-1.90
Fe (0.6667, 0.3333, 0.4749)  4 O 1.89
Fe (0.6728, 0.8364, 0.1102)  6 O 1.86-1.96
Fe (0.6728, 0.8364, 0.3898)  6 O 1.86-1.96
Fe (0.8364, 0.1636, 0.6102)  6 O 1.86-1.96
Fe (0.8364, 0.1636, 0.8898)  6 O 1.86-1.96
Fe (0.8364, 0.6728, 0.6102)  6 O 1.86-1.96
Fe (0.8364, 0.6728, 0.8898)  6 O 1.86-1.96
Pb (0.3333, 0.6667, 0.2500)  12 O 2.66-2.80
Pb (0.6667, 0.3333, 0.7500)  12 O 2.66-2.80
O (0.0000, 0.0000, 0.1583)  4 Fe 1.90-2.01
O (0.0000, 0.0000, 0.3417)  4 Fe 1.90-2.01
O (0.0000, 0.0000, 0.6583)  4 Fe 1.90-2.01
O (0.0000, 0.0000, 0.8417)  4 Fe 1.90-2.01
O (0.0074, 0.5037, 0.1523)  3 Fe 1.86-1.87
O (0.0074, 0.5037, 0.3477)  3 Fe 1.86-1.87
O (0.1511, 0.3022, 0.5556)  4 Fe 1.89-1.94
O (0.1511, 0.3022, 0.9444)  4 Fe 1.89-1.94
O (0.1511, 0.8489, 0.5556)  4 Fe 1.89-1.94
O (0.1511, 0.8489, 0.9444)  4 Fe 1.89-1.94
O (0.1864, 0.3728, 0.7500)  3 Fe 1.81-1.90
O (0.1864, 0.8136, 0.7500)  3 Fe 1.81-1.90
O (0.3022, 0.1511, 0.0556)  4 Fe 1.89-1.94
O (0.3022, 0.1511, 0.4444)  4 Fe 1.89-1.94
O (0.3333, 0.6667, 0.0613)  4 Fe 1.89-1.96
O (0.3333, 0.6667, 0.4387)  4 Fe 1.89-1.96
O (0.3728, 0.1864, 0.2500)  3 Fe 1.81-1.90
O (0.4963, 0.5037, 0.1523)  3 Fe 1.86-1.87
O (0.4963, 0.5037, 0.3477)  3 Fe 1.86-1.87
O (0.4963, 0.9926, 0.1523)  3 Fe 1.86-1.87
O (0.4963, 0.9926, 0.3477)  3 Fe 1.86-1.87
O (0.5037, 0.0074, 0.6523)  3 Fe 1.86-1.87
O (0.5037, 0.0074, 0.8477)  3 Fe 1.86-1.87
O (0.5037, 0.4963, 0.6523)  3 Fe 1.86-1.87
O (0.5037, 0.4963, 0.8477)  3 Fe 1.86-1.87
O (0.6272, 0.8136, 0.7500)  3 Fe 1.81-1.90
O (0.6667, 0.3333, 0.5613)  4 Fe 1.89-1.96
O (0.6667, 0.3333, 0.9387)  4 Fe 1.89-1.96
O (0.6978, 0.8489, 0.5556)  4 Fe 1.89-1.94
O (0.6978, 0.8489, 0.9444)  4 Fe 1.89-1.94
O (0.8136, 0.1864, 0.2500)  3 Fe 1.81-1.90
O (0.8136, 0.6272, 0.2500)  3 Fe 1.81-1.90
O (0.8489, 0.1511, 0.0556)  4 Fe 1.89-1.94
O (0.8489, 0.1511, 0.4444)  4 Fe 1.89-1.94
O (0.8489, 0.6978, 0.0556)  4 Fe 1.89-1.94
O (0.8489, 0.6978, 0.4444)  4 Fe 1.89-1.94
O (0.9926, 0.4963, 0.6523)  3 Fe 1.86-1.87
O (0.9926, 0.4963, 0.8477)  3 Fe 1.86-1.87


## Sr2HfFe (PBEsol)

Data for a geometry-optimized Sr2HfFe structure.

Calculated values
The raw total energy comes out at -4.64 eV/atom. The space group is Fm-3m, No. 225. For the size of the total moment, the calculation gives 2.695 μB/cell. As for the energy of formation from the pure elements: 1.150 eV/atom.

Lattice parameters (Å, degrees): 5.4004 5.4004 5.4004 60.00 60.00 60.00
Closest atoms and distances in Å follow each position.
Element x y z (fractional)
Sr (0.2500, 0.2500, 0.2500)  4 Hf 3.31, 4 Fe 3.31
Sr (0.7500, 0.7500, 0.7500)  4 Hf 3.31, 4 Fe 3.31
Hf (0.0000, 0.0000, 0.0000)  8 Sr 3.31
Fe (0.5000, 0.5000, 0.5000)  8 Sr 3.31


## ScTa4Si (PBEsol)

Data for a geometry-optimized ScTa4Si structure.

Calculated values
The raw total energy comes out at -10.05 eV/atom. The space group is F-43m, No. 216. For the size of the total moment, the calculation gives 0.000 μB/cell. As for the formation energy (no corrections): 37 kJ/mol of atoms.

Lattice parameters (Å, degrees): 5.4194 5.4194 5.4194 60.00 60.00 60.00
Closest atoms and distances in Å follow each position.
Element x y z (fractional)
Sc (0.0000, 0.0000, 0.0000)  12 Ta 3.17, 4 Si 3.32
Ta (0.3737, 0.3737, 0.3737)  6 Ta 2.68-2.74
Ta (0.3737, 0.3737, 0.8790)  6 Ta 2.68-2.74
Ta (0.3737, 0.8790, 0.3737)  6 Ta 2.68-2.74
Ta (0.8790, 0.3737, 0.3737)  6 Ta 2.68-2.74
Si (0.7500, 0.7500, 0.7500)  12 Ta 3.18, 4 Sc 3.32


## Hf2ReSnF (PBEsol)

Data for a geometry-optimized Hf2ReSnF structure.

Calculated values
The raw total energy comes out at -7.14 eV/atom. The space group is P4/mmm, No. 123. For the size of the total moment, the calculation gives 0.000 μB/cell. As for the formation energy (no corrections): 93 kJ/mol of atoms.

Lattice parameters (Å, degrees): 5.2767 5.2767 3.9501 90.00 90.00 90.00
Closest atoms and distances in Å follow each position.
Element x y z (fractional)
Hf (0.0000, 0.5000, 0.0000)  2 Sn 2.64
Hf (0.5000, 0.0000, 0.0000)  2 Sn 2.64
Re (0.0000, 0.0000, 0.5000)  8 Hf 3.30
Sn (0.5000, 0.5000, 0.0000)  2 F 1.98
F (0.5000, 0.5000, 0.5000)  2 Sn 1.98